NaMg3 | Alexandria via LeMat-Bulk | PBE | relaxed; symmetry = No. 223; DFT total energy = -1.38 eV/atom; DOS at the Fermi energy = 2.61 states/eV/f.u.
1.0
5.9027 0.0000 0.0000
0.0000 5.9027 0.0000
0.0000 0.0000 5.9027
Na Mg
2 6
Direct
0.0000 0.0000 0.0000
0.5000 0.5000 0.5000
0.0000 0.2500 0.5000
0.0000 0.7500 0.5000
0.2500 0.5000 0.0000
0.5000 0.0000 0.2500
0.5000 0.0000 0.7500
0.7500 0.5000 0.0000



LiSiPdRh | Alexandria via LeMat-Bulk | PBE | relaxed; formation energy from raw total energies = -757 meV per atom; symmetry = No. 216; DOS at the Fermi energy = 1.24 states/eV/f.u.
1.0
0.0000 2.9287 2.9287
2.9287 0.0000 2.9287
2.9287 2.9287 0.0000
Li Si Pd Rh
1 1 1 1
Direct
0.0000 0.0000 0.0000
0.5000 0.5000 0.5000
0.7500 0.7500 0.7500
0.2500 0.2500 0.2500



Ho3Er7In2 | Alexandria via LeMat-Bulk | PBE | relaxed; symmetry = No. 10; DFT total energy = -4.31 eV/atom; DOS at the Fermi energy = 11.92 states/eV/f.u.
1.0
5.5440 0.0000 0.0000
0.0000 3.5580 0.0000
-1.1687 0.0000 18.2112
Ho Er In
3 7 2
Direct
0.0000 0.0000 0.0000
0.2776 0.5000 0.6331
0.7224 0.5000 0.3669
0.1675 0.5000 0.1473
0.2413 0.0000 0.4586
0.3295 0.0000 0.8276
0.5000 0.5000 0.0000
0.6705 0.0000 0.1724
0.7587 0.0000 0.5414
0.8325 0.5000 0.8527
0.2026 0.0000 0.2918
0.7974 0.0000 0.7082



ScSi2Ru | Alexandria via LeMat-Bulk | PBE | relaxed; formation energy from raw total energies = -389 meV per atom; symmetry = No. 119; DOS at the Fermi energy = 2.81 states/eV/f.u.
1.0
-1.9077 1.9077 4.0807
1.9077 -1.9077 4.0807
1.9077 1.9077 -4.0807
Sc Si Ru
1 2 1
Direct
0.0000 0.0000 0.0000
0.2500 0.7500 0.5000
0.5000 0.5000 0.0000
0.7500 0.2500 0.5000



TbPrHo2Sc4 | Alexandria via LeMat-Bulk | PBE | relaxed; symmetry = No. 15; DFT total energy = -5.06 eV/atom; DOS at the Fermi energy = 17.53 states/eV/f.u.
1.0
6.5344 -6.3431 0.0000
6.5344 6.3431 0.0000
-3.2708 0.0000 5.6616
Tb Pr Ho Sc
2 2 4 8
Direct
0.0000 0.5000 0.0000
0.5000 0.0000 0.5000
0.0000 0.0000 0.0000
0.0000 0.0000 0.5000
0.0000 0.5000 0.5000
0.5000 0.0000 0.0000
0.5000 0.5000 0.0000
0.5000 0.5000 0.5000
0.2527 0.2539 0.5048
0.2529 0.7471 0.9998
0.2529 0.7471 0.5002
0.2539 0.2527 0.0048
0.7461 0.7473 0.9952
0.7471 0.2529 0.0002
0.7471 0.2529 0.4998
0.7473 0.7461 0.4952



Ba3CdGa2 | Alexandria via LeMat-Bulk | PBE | relaxed; symmetry = No. 14; DFT total energy = -2.41 eV/atom; DOS at the Fermi energy = 4.25 states/eV/f.u.
1.0
8.4761 0.0000 0.0000
0.0000 11.0247 0.0000
-0.1896 0.0000 9.3105
Ba Cd Ga
12 4 8
Direct
0.1414 0.1356 0.4421
0.1414 0.3644 0.9421
0.2436 0.6762 0.7207
0.2436 0.8238 0.2207
0.3091 0.0335 0.8175
0.3091 0.4665 0.3175
0.6909 0.5335 0.6825
0.6909 0.9665 0.1825
0.7564 0.1762 0.7793
0.7564 0.3238 0.2793
0.8586 0.6356 0.0579
0.8586 0.8644 0.5579
0.3884 0.1761 0.1545
0.3884 0.3239 0.6545
0.6116 0.6761 0.3455
0.6116 0.8239 0.8455
0.0367 0.0882 0.0968
0.0367 0.4118 0.5968
0.4570 0.6176 0.0332
0.4570 0.8824 0.5332
0.5430 0.1176 0.4668
0.5430 0.3824 0.9668
0.9633 0.5882 0.4032
0.9633 0.9118 0.9032



LiTbAg | Alexandria via LeMat-Bulk | PBE | relaxed; energy above the most stable polymorph in this dataset = 37 meV per atom; symmetry = No. 107; DOS at the Fermi energy = 1.32 states/eV/f.u.
1.0
-1.8251 1.8251 4.9077
1.8251 -1.8251 4.9077
1.8251 1.8251 -4.9077
Li Tb Ag
1 1 1
Direct
0.0000 0.0000 0.0000
0.3048 0.3048 0.0000
0.6287 0.6287 0.0000



K4Pb3O8 | Alexandria via LeMat-Bulk | PBE | relaxed; formation energy from raw total energies = -1137 meV per atom; symmetry = No. 166
1.0
3.4724 2.0048 6.6714
-3.4724 2.0048 6.6714
0.0000 -4.0096 6.6714
K Pb O
4 3 8
Direct
0.0000 0.0000 0.0000
0.1456 0.1456 0.1456
0.5000 0.5000 0.5000
0.8544 0.8544 0.8544
0.0000 0.5000 0.5000
0.5000 0.0000 0.5000
0.5000 0.5000 0.0000
0.2460 0.2460 0.6879
0.2460 0.6879 0.2460
0.2735 0.2735 0.2735
0.3121 0.7540 0.7540
0.6879 0.2460 0.2460
0.7265 0.7265 0.7265
0.7540 0.3121 0.7540
0.7540 0.7540 0.3121



CdTePt | Alexandria via LeMat-Bulk | PBE | relaxed; energy above the most stable polymorph in this dataset = 0 meV per atom; formation energy from raw total energies = -302 meV per atom; symmetry = No. 14; DOS at the Fermi energy = 0.78 states/eV/f.u.
1.0
5.8257 0.0000 0.0000
0.0000 7.8227 0.0000
-2.2961 0.0000 6.9852
Cd Te Pt
4 4 4
Direct
0.2487 0.1184 0.3904
0.2487 0.3816 0.8904
0.7513 0.6184 0.1096
0.7513 0.8816 0.6096
0.2575 0.6231 0.3431
0.2575 0.8769 0.8431
0.7425 0.1231 0.1569
0.7425 0.3769 0.6569
0.4842 0.6274 0.7314
0.4842 0.8726 0.2314
0.5158 0.1274 0.7686
0.5158 0.3726 0.2686



Tm13Co2 | Alexandria via LeMat-Bulk | PBE | relaxed; symmetry = No. 2; DFT total energy = -4.86 eV/atom; DOS at the Fermi energy = 22.18 states/eV/f.u.
1.0
6.2078 0.0000 0.0000
1.0274 7.8998 0.0000
0.1263 3.9906 8.6107
Tm Co
13 2
Direct
0.0000 0.0000 0.0000
0.0629 0.5258 0.3122
0.1668 0.0681 0.6125
0.2241 0.6170 0.9305
0.3110 0.1600 0.2278
0.4022 0.6787 0.5521
0.4522 0.2304 0.8512
0.5478 0.7696 0.1488
0.5978 0.3213 0.4479
0.6890 0.8400 0.7722
0.7759 0.3830 0.0695
0.8332 0.9319 0.3875
0.9371 0.4742 0.6878
0.1965 0.8352 0.2817
0.8035 0.1648 0.7183



ScBeSCl2 | Alexandria via LeMat-Bulk | PBE | relaxed; energy above the most stable polymorph in this dataset = 169 meV per atom; formation energy from raw total energies = -605 meV per atom; symmetry = No. 123; DOS at the Fermi energy = 1.64 states/eV/f.u.
1.0
4.9321 0.0000 0.0000
0.0000 4.9321 0.0000
0.0000 0.0000 5.0374
Sc Be S Cl
1 1 1 2
Direct
0.0000 0.0000 0.0000
0.5000 0.5000 0.5000
0.0000 0.0000 0.5000
0.0000 0.5000 0.0000
0.5000 0.0000 0.0000



Ti2NbBr | Alexandria via LeMat-Bulk | PBE | relaxed; energy above the most stable polymorph in this dataset = 159 meV per atom; formation energy from raw total energies = 580 meV per atom; symmetry = No. 122; DOS at the Fermi energy = 5.71 states/eV/f.u.
1.0
-1.9769 1.9769 9.4767
1.9769 -1.9769 9.4767
1.9769 1.9769 -9.4767
Ti Nb Br
4 2 2
Direct
0.1220 0.6250 0.9970
0.3750 0.3720 0.4970
0.6280 0.1250 0.0030
0.8750 0.8780 0.5030
0.2500 0.7500 0.5000
0.5000 0.5000 0.0000
0.0000 0.0000 0.0000
0.7500 0.2500 0.5000